Record 1
DFT (PBE-GGA) results for crystalline GeWCl3 at its relaxed geometry.

- Uncorrected formation energy: 0.810 eV per atom
- V: 135.8 Å³/cell
- Density: 4.44 g/cm3
- Distance to the lowest polymorph of the same formula: 0.406 eV per atom

Cell: 5.140 5.140 5.140 Å, 90.00 90.00 90.00°
Site moments in Bohr magnetons follow the coordinates.
Positions (direct):
Cl 0.000 0.000 0.500  0.02
Cl 0.000 0.500 0.000  0.02
Cl 0.500 0.000 0.000  0.01
W 0.500 0.500 0.500  3.60
Ge 0.000 0.000 0.000  -0.01


Record 2
DFT (PBE-GGA) results for crystalline Ge2WCl at its relaxed geometry.

- Uncorrected formation energy: 0.794 eV per atom
- V: 217.2 Å³/cell
- Density: 5.57 g/cm3
- Distance to the lowest polymorph of the same formula: 0.000 eV per atom

Cell: 6.053 6.053 7.311 Å, 65.55 65.55 90.00°
Positions (direct):
W 0.000 0.000 0.000
W 0.750 0.250 0.500
Cl 0.250 0.750 0.500
Cl 0.500 0.500 0.000
Ge 0.375 0.323 0.750
Ge 0.677 0.125 0.250
Ge 0.875 0.927 0.750
Ge 0.073 0.625 0.250


Record 3
DFT (PBE-GGA) results for crystalline GeWCl3 at its relaxed geometry.

- Uncorrected formation energy: 0.403 eV per atom
- V: 116.6 Å³/cell
- Density: 5.17 g/cm3
- Distance to the lowest polymorph of the same formula: 0.000 eV per atom

Cell: 4.886 4.886 4.886 Å, 90.00 90.00 90.00°
Site moments in Bohr magnetons follow the coordinates.
Positions (direct):
W 0.000 0.000 0.000  1.67
Cl 0.000 0.500 0.000  0.01
Cl 0.500 0.000 0.000  0.06
Cl 0.000 0.000 0.500  0.01
Ge 0.500 0.500 0.500  0.52


Record 4
DFT (PBE-GGA) results for crystalline Y2GeWCl at its relaxed geometry.

- Uncorrected formation energy: 0.414 eV per atom
- V: 144.6 Å³/cell
- Density: 5.40 g/cm3
- Distance to the lowest polymorph of the same formula: 0.340 eV per atom

Cell: 5.552 4.689 5.552 Å, 90.00 90.00 90.00°
Site moments in Bohr magnetons follow the coordinates.
Positions (direct):
Cl 0.500 0.500 0.500  0.05
Ge 0.000 0.000 0.000  0.00
W 0.000 0.500 0.000  1.23
Y 0.500 0.000 0.000  -0.01
Y 0.000 0.000 0.500  0.01


Record 5
DFT (PBE-GGA) results for crystalline Y2GeWCl at its relaxed geometry.

- Uncorrected formation energy: 0.075 eV per atom
- V: 145.6 Å³/cell
- Density: 5.36 g/cm3
- Distance to the lowest polymorph of the same formula: 0.000 eV per atom

Cell: 5.495 4.823 5.495 Å, 90.00 90.00 90.00°
Positions (direct):
Y 0.500 0.000 0.000
Y 0.000 0.000 0.500
Ge 0.000 0.500 0.000
Cl 0.500 0.500 0.500
W 0.000 0.000 0.000


Record 6
DFT (PBE-GGA) results for crystalline YGeCl2 at its relaxed geometry.

- Uncorrected formation energy: -0.931 eV per atom
- V: 193.2 Å³/cell
- Density: 4.00 g/cm3
- Distance to the lowest polymorph of the same formula: 0.000 eV per atom

Cell: 4.540 4.540 9.907 Å, 76.75 76.75 90.00°
Positions (direct):
Y 0.750 0.250 0.500
Y 0.000 0.000 0.000
Ge 0.500 0.500 0.000
Ge 0.250 0.750 0.500
Cl 0.113 0.625 0.250
Cl 0.375 0.363 0.750
Cl 0.875 0.887 0.750
Cl 0.637 0.125 0.250


Record 7
DFT (PBE-GGA) results for crystalline Y4Ge2Cl3 at its relaxed geometry.

- Uncorrected formation energy: -1.453 eV per atom
- V: 243.3 Å³/cell
- Density: 4.15 g/cm3

Cell: 4.118 4.118 16.564 Å, 90.06 89.94 120.00°
Positions (direct):
Y 0.999 0.001 0.300
Y 0.666 0.334 0.112
Y 0.334 0.666 0.888
Y 0.001 0.999 0.700
Cl 0.334 0.666 0.606
Cl 0.666 0.334 0.394
Cl 0.000 0.000 0.000
Ge 0.667 0.333 0.798
Ge 0.333 0.667 0.202


Record 8
DFT (PBE-GGA) results for crystalline YGeCl2 at its relaxed geometry.

- Uncorrected formation energy: -0.694 eV per atom
- V: 85.1 Å³/cell
- Density: 4.54 g/cm3
- Distance to the lowest polymorph of the same formula: 0.238 eV per atom

Cell: 4.937 4.937 4.937 Å, 60.00 60.00 60.00°
Positions (direct):
Ge 0.000 0.000 0.000
Y 0.500 0.500 0.500
Cl 0.250 0.250 0.250
Cl 0.750 0.750 0.750


Record 9
DFT (PBE-GGA) results for crystalline YGe2Cl at its relaxed geometry.

- Uncorrected formation energy: -0.022 eV per atom
- V: 91.2 Å³/cell
- Density: 4.91 g/cm3
- Distance to the lowest polymorph of the same formula: 0.324 eV per atom

Cell: 5.053 5.053 5.053 Å, 60.00 60.00 60.00°
Positions (direct):
Y 0.500 0.500 0.500
Ge 0.250 0.250 0.250
Ge 0.750 0.750 0.750
Cl 0.000 0.000 0.000


Record 10
DFT (PBE-GGA) results for crystalline YGe2Cl at its relaxed geometry.

- Uncorrected formation energy: -0.346 eV per atom
- V: 220.9 Å³/cell
- Density: 4.05 g/cm3
- Distance to the lowest polymorph of the same formula: 0.000 eV per atom

Cell: 9.370 9.370 7.088 Å, 48.62 48.62 90.00°
Positions (direct):
Y 0.000 0.000 0.000
Y 0.750 0.250 0.500
Ge 0.875 0.923 0.750
Ge 0.077 0.625 0.250
Ge 0.673 0.125 0.250
Ge 0.375 0.327 0.750
Cl 0.500 0.500 0.000
Cl 0.250 0.750 0.500


Record 11
DFT (PBE-GGA) results for crystalline YGeCl3 at its relaxed geometry.

- Uncorrected formation energy: -0.413 eV per atom
- V: 140.1 Å³/cell
- Density: 3.17 g/cm3
- Distance to the lowest polymorph of the same formula: 0.639 eV per atom

Cell: 5.194 5.194 5.194 Å, 90.00 90.00 90.00°
Site moments in Bohr magnetons follow the coordinates.
Positions (direct):
Cl 0.000 0.000 0.500  0.01
Cl 0.000 0.500 0.000  0.01
Cl 0.500 0.000 0.000  0.01
Ge 0.000 0.000 0.000  0.04
Y 0.500 0.500 0.500  0.82


Record 12
DFT (PBE-GGA) results for crystalline YGeCl5 at its relaxed geometry.

- Uncorrected formation energy: -1.583 eV per atom
- V: 454.1 Å³/cell
- Density: 2.48 g/cm3

Cell: 7.034 7.034 10.250 Å, 108.77 108.77 86.56°
Positions (direct):
Cl 0.367 0.330 0.656
Cl 0.830 0.867 0.156
Cl 0.633 0.670 0.344
Cl 0.788 0.247 0.501
Cl 0.253 0.712 0.999
Cl 0.249 0.251 0.250
Cl 0.747 0.288 0.001
Cl 0.751 0.749 0.750
Cl 0.212 0.753 0.499
Cl 0.170 0.133 0.844
Ge 0.917 0.583 0.250
Ge 0.083 0.417 0.750
Y 0.000 0.000 0.000
Y 0.500 0.500 0.500